# GGA-PBE CaGeTeI2, optimized geometry
# Total magnetic moment: 0.0 μB/f.u.
# Formation energy from raw total energies: -0.427 eV per atom
# Energy: -3.00 eV/atom
# Excess energy over the best structure of this formula in the dataset: 0.000 eV/f.u.
data_CaGeTeI2
_cell_length_a 5.615
_cell_length_b 5.615
_cell_length_c 5.850
_cell_angle_alpha 90.00
_cell_angle_beta 90.00
_cell_angle_gamma 90.00
_symmetry_space_group_name_H-M 'P 4/m m m'
_symmetry_Int_Tables_number 123
_symmetry_space_group_name_Hall '-P 4 2'
loop_
_atom_site_label
_atom_site_type_symbol
_atom_site_fract_x
_atom_site_fract_y
_atom_site_fract_z
Ca1 Ca 0.000 0.000 0.000
Ge1 Ge 0.500 0.500 0.500
Te1 Te 0.500 0.500 0.000
I1 I 0.000 0.500 0.500

***

# GGA-PBE Ca2TiGeI, optimized geometry
# Total magnetic moment: 0.2 μB/f.u.
# Formation energy from raw total energies: 0.622 eV per atom
# Energy: -2.99 eV/atom
data_Ca2TiGeI
_cell_length_a 5.707
_cell_length_b 5.707
_cell_length_c 5.835
_cell_angle_alpha 90.00
_cell_angle_beta 90.00
_cell_angle_gamma 90.00
_symmetry_space_group_name_H-M 'P 4/m m m'
_symmetry_Int_Tables_number 123
_symmetry_space_group_name_Hall '-P 4 2'
loop_
_atom_site_label
_atom_site_type_symbol
_atom_site_fract_x
_atom_site_fract_y
_atom_site_fract_z
Ca1 Ca 0.000 0.500 0.000
Ti1 Ti 0.000 0.000 0.500
Ge1 Ge 0.500 0.500 0.000
I1 I 0.500 0.500 0.500

***

# GGA-PBE Ca2TlGeI, optimized geometry
# Total magnetic moment: 0.0 μB/f.u.
# Formation energy from raw total energies: -0.135 eV per atom
# Energy: -2.64 eV/atom
data_Ca2TlGeI
_cell_length_a 5.730
_cell_length_b 5.730
_cell_length_c 5.994
_cell_angle_alpha 90.00
_cell_angle_beta 90.00
_cell_angle_gamma 90.00
_symmetry_space_group_name_H-M 'P 4/m m m'
_symmetry_Int_Tables_number 123
_symmetry_space_group_name_Hall '-P 4 2'
loop_
_atom_site_label
_atom_site_type_symbol
_atom_site_fract_x
_atom_site_fract_y
_atom_site_fract_z
Ca1 Ca 0.000 0.500 0.000
Tl1 Tl 0.000 0.000 0.500
Ge1 Ge 0.500 0.500 0.000
I1 I 0.500 0.500 0.500

***

# GGA-PBE CaTl2GeI, optimized geometry
# Total magnetic moment: 1.0 μB/f.u.
# Formation energy from raw total energies: 0.354 eV per atom
# Energy: -2.23 eV/atom
data_CaTl2GeI
_cell_length_a 6.386
_cell_length_b 6.386
_cell_length_c 5.399
_cell_angle_alpha 90.00
_cell_angle_beta 90.00
_cell_angle_gamma 90.00
_symmetry_space_group_name_H-M 'P 4/m m m'
_symmetry_Int_Tables_number 123
_symmetry_space_group_name_Hall '-P 4 2'
loop_
_atom_site_label
_atom_site_type_symbol
_atom_site_fract_x
_atom_site_fract_y
_atom_site_fract_z
Ca1 Ca 0.000 0.000 0.000
Tl1 Tl 0.000 0.500 0.000
Ge1 Ge 0.000 0.000 0.500
I1 I 0.500 0.500 0.500

***

# GGA-PBE Ca6InGe2, optimized geometry
# Total magnetic moment: 1.6 μB/f.u.
# Formation enthalpy at 0 K: -4.2 eV per formula unit
# Energy: -3.14 eV/atom
data_Ca6InGe2
_cell_length_a 9.951
_cell_length_b 9.982
_cell_length_c 10.984
_cell_angle_alpha 90.00
_cell_angle_beta 90.00
_cell_angle_gamma 90.00
_symmetry_space_group_name_H-M 'I m m m'
_symmetry_Int_Tables_number 71
_symmetry_space_group_name_Hall '-I 2 2'
loop_
_atom_site_label
_atom_site_type_symbol
_atom_site_fract_x
_atom_site_fract_y
_atom_site_fract_z
Ca1 Ca 0.000 0.192 0.170
Ca2 Ca 0.183 0.218 0.500
Ca3 Ca 0.198 0.500 0.253
In1 In 0.000 0.500 0.000
In2 In 0.000 0.500 0.500
Ge1 Ge 0.000 0.000 0.381
Ge2 Ge 0.160 0.000 0.000

***

# GGA-PBE CaIn3Ge, optimized geometry
# Total magnetic moment: 0.0 μB/f.u.
# Formation enthalpy at 0 K: 4.1 eV per formula unit
# Energy: -2.15 eV/atom
# Excess energy over the best structure of this formula in the dataset: 3.323 eV/f.u.
data_CaIn3Ge
_cell_length_a 5.786
_cell_length_b 5.786
_cell_length_c 5.786
_cell_angle_alpha 90.00
_cell_angle_beta 90.00
_cell_angle_gamma 90.00
_symmetry_space_group_name_H-M 'P m -3 m'
_symmetry_Int_Tables_number 221
_symmetry_space_group_name_Hall '-P 4 2 3'
loop_
_atom_site_label
_atom_site_type_symbol
_atom_site_fract_x
_atom_site_fract_y
_atom_site_fract_z
Ca1 Ca 0.000 0.000 0.000
In1 In 0.000 0.000 0.500
Ge1 Ge 0.500 0.500 0.500

***

What is the energy in the fifth record?
-3.14 eV/atom